# 1
NdSc6Tl3 (PBE-GGA, optimized geometry); energy relative to the elements = -0.11 eV/atom
1.0
5.3729 -6.0396 0.0000
5.3729 6.0396 0.0000
0.0000 0.0000 8.1446
Nd Sc Tl
2 12 6
Direct
0.1972 0.8028 0.5000
0.8028 0.1972 0.0000
0.0796 0.4360 0.6955
0.0998 0.2362 0.3388
0.2362 0.0998 0.8388
0.2679 0.7321 0.9180
0.4360 0.0796 0.1955
0.4792 0.5208 0.2967
0.5208 0.4792 0.7967
0.5640 0.9204 0.6955
0.7321 0.2679 0.4180
0.7638 0.9002 0.3388
0.9002 0.7638 0.8388
0.9204 0.5640 0.1955
0.0763 0.9237 0.1411
0.2218 0.3950 0.0415
0.3950 0.2218 0.5415
0.6050 0.7782 0.0415
0.7782 0.6050 0.5415
0.9237 0.0763 0.6411


# 2
CsRbCl3 (PBE-GGA, optimized geometry); raw formation energy = -1.2674 eV per atom
1.0
6.0844 0.0000 0.0000
0.0000 6.0844 0.0000
0.0000 0.0000 6.0844
Cs Rb Cl
1 1 3
Direct
0.0000 0.0000 0.0000
0.5000 0.5000 0.5000
0.0000 0.5000 0.5000
0.5000 0.0000 0.5000
0.5000 0.5000 0.0000


# 3
IrPd3O6 (PBE-GGA, optimized geometry); raw formation energy = -0.3574 eV per atom
1.0
5.1409 0.0000 0.0000
0.0000 5.0141 0.0000
-4.7227 0.0000 9.3601
Ir Pd O
2 6 12
Direct
0.0000 0.0000 0.0000
0.0000 0.5000 0.5000
0.3016 0.1069 0.7988
0.3016 0.3931 0.2988
0.5000 0.0000 0.5000
0.5000 0.5000 0.0000
0.6984 0.6069 0.7012
0.6984 0.8931 0.2012
0.0939 0.1941 0.4058
0.0939 0.3059 0.9058
0.2271 0.6862 0.4098
0.2271 0.8138 0.9098
0.3344 0.0839 0.1828
0.3344 0.4161 0.6828
0.6656 0.5839 0.3172
0.6656 0.9161 0.8172
0.7729 0.1862 0.0902
0.7729 0.3138 0.5902
0.9061 0.6941 0.0942
0.9061 0.8059 0.5942


# 4
SrTbPuN3 (PBE-GGA, optimized geometry); raw formation energy = -0.8248 eV per atom
1.0
7.5836 0.0000 0.0000
0.0000 3.6277 0.0000
-1.6220 0.0000 8.5681
Sr Tb Pu N
2 2 2 6
Direct
0.1766 0.2500 0.1472
0.8234 0.7500 0.8528
0.3823 0.7500 0.8510
0.6177 0.2500 0.1490
0.0605 0.2500 0.5944
0.9395 0.7500 0.4056
0.1035 0.2500 0.8257
0.2136 0.7500 0.5840
0.4138 0.7500 0.1174
0.5862 0.2500 0.8826
0.7864 0.2500 0.4160
0.8965 0.7500 0.1743


So what do the calculations give for D(E_F)? Going down the list: 15.59 13.42 6.09 3.65 states/eV/f.u..
So what do the calculations give for E? Going down the list: -0.18722 -0.10068 -0.21227 -0.30973 Ha/atom.